1.
HgPdPt2 | PBE-GGA | relaxed

abc: 4.569 4.569 4.569
angles: 60.00 60.00 60.00
Fractional coordinates of all 4 atoms:
Hg 0.250 0.250 0.250
Pt 0.000 0.000 0.000
Pt 0.750 0.750 0.750
Pd 0.500 0.500 0.500

Output
DFT formation energy ... 0.029 eV/atom


2.
ScFeNiBi | PBE-GGA | relaxed

abc: 4.487 4.487 4.487
angles: 60.00 60.00 60.00
Fractional coordinates of all 4 atoms:
Ni 0.250 0.250 0.250
Sc 0.500 0.500 0.500
Bi 0.000 0.000 0.000
Fe 0.750 0.750 0.750

Output
ΔE to the lowest computed polymorph ... 0 meV per atom


3.
NbCoNiB | PBE-GGA | relaxed

abc: 3.998 3.998 3.998
angles: 60.00 60.00 60.00
Fractional coordinates of all 4 atoms:
Nb 0.250 0.250 0.250
B 0.000 0.000 0.000
Co 0.750 0.750 0.750
Ni 0.500 0.500 0.500

Output
ΔE to the lowest computed polymorph ... 0 meV per atom


4.
BaAl2Au2 | PBE-GGA | relaxed

abc: 6.694 6.694 6.694
angles: 140.77 140.77 56.68
Fractional coordinates of all 5 atoms:
Al 0.250 0.750 0.500
Al 0.750 0.250 0.500
Au 0.635 0.635 0.000
Au 0.365 0.365 0.000
Ba 0.000 0.000 0.000

Output
E_tot ... -0.1397 hartree per atom


5.
Cs2AgSnI6 | PBE-GGA | relaxed

abc: 15.069 15.069 15.069
angles: 32.40 32.40 32.40
Fractional coordinates of all 20 atoms:
I 0.296 0.791 0.791
I 0.629 0.629 0.116
I 0.884 0.371 0.371
I 0.209 0.209 0.704
I 0.704 0.209 0.209
I 0.629 0.116 0.629
I 0.116 0.629 0.629
I 0.209 0.704 0.209
I 0.371 0.371 0.884
I 0.791 0.296 0.791
I 0.791 0.791 0.296
I 0.371 0.884 0.371
Cs 0.122 0.122 0.122
Cs 0.878 0.878 0.878
Cs 0.295 0.295 0.295
Cs 0.705 0.705 0.705
Sn 0.000 0.000 0.000
Sn 0.500 0.500 0.500
Ag 0.418 0.418 0.418
Ag 0.582 0.582 0.582

Output
ΔE to the lowest computed polymorph ... 14 meV per atom


6.
LaHfNO | PBE-GGA | relaxed

abc: 4.545 4.545 6.203
angles: 90.00 90.00 90.00
Fractional coordinates of all 8 atoms:
La 0.250 0.750 0.500
La 0.750 0.250 0.500
N 0.750 0.750 0.344
N 0.250 0.250 0.656
Hf 0.250 0.250 0.971
Hf 0.750 0.750 0.029
O 0.250 0.750 0.000
O 0.750 0.250 0.000

Output
ΔE to the lowest computed polymorph ... 293 meV per atom


7.
ScCoSb | PBE-GGA | relaxed

abc: 7.034 7.034 3.686
angles: 90.00 90.00 120.00
Fractional coordinates of all 9 atoms:
Sc 0.608 0.000 0.500
Sc 0.392 0.392 0.500
Sc 0.000 0.608 0.500
Sb 0.728 0.728 0.000
Sb 0.000 0.272 0.000
Sb 0.272 0.000 0.000
Co 0.667 0.333 0.000
Co 0.333 0.667 0.000
Co 0.000 0.000 0.500

Output
E_tot ... -0.2372 hartree per atom


8.
TmZn5 | PBE-GGA | relaxed

abc: 8.824 8.824 8.969
angles: 90.00 90.00 120.00
Fractional coordinates of all 36 atoms:
Zn 0.568 0.432 0.250
Zn 0.159 0.319 0.906
Zn 0.333 0.667 0.483
Zn 0.568 0.135 0.250
Zn 0.500 0.000 0.000
Zn 0.319 0.159 0.406
Zn 0.432 0.568 0.750
Zn 0.865 0.432 0.250
Zn 0.667 0.333 0.517
Zn 0.000 0.500 0.500
Zn 0.500 0.500 0.000
Zn 0.681 0.841 0.906
Zn 0.681 0.841 0.594
Zn 0.841 0.159 0.094
Zn 0.841 0.681 0.094
Zn 0.000 0.500 0.000
Zn 0.000 0.000 0.000
Zn 0.667 0.333 0.983
Zn 0.500 0.500 0.500
Zn 0.135 0.568 0.750
Zn 0.319 0.159 0.094
Zn 0.333 0.667 0.017
Zn 0.159 0.841 0.906
Zn 0.841 0.159 0.406
Zn 0.432 0.865 0.750
Zn 0.000 0.000 0.500
Zn 0.159 0.841 0.594
Zn 0.159 0.319 0.594
Zn 0.841 0.681 0.406
Zn 0.500 0.000 0.500
Tm 0.617 0.809 0.250
Tm 0.809 0.617 0.750
Tm 0.191 0.809 0.250
Tm 0.809 0.191 0.750
Tm 0.191 0.383 0.250
Tm 0.383 0.191 0.750

Output
DFT formation energy ... -0.260 eV/atom


9.
RbTe3MoAu | PBE-GGA | relaxed

abc: 8.503 8.503 10.890
angles: 90.00 90.00 28.04
Fractional coordinates of all 12 atoms:
Te 0.933 0.933 0.750
Te 0.383 0.383 0.026
Te 0.617 0.617 0.974
Te 0.383 0.383 0.474
Te 0.617 0.617 0.526
Te 0.067 0.067 0.250
Rb 0.763 0.763 0.250
Rb 0.237 0.237 0.750
Au 0.452 0.452 0.250
Au 0.548 0.548 0.750
Mo 0.000 0.000 0.000
Mo 0.000 0.000 0.500

Output
E_tot ... -0.1580 hartree per atom


10.
Y3Ta3Mo2N12 | PBE-GGA | relaxed

abc: 11.084 11.084 11.084
angles: 109.47 109.47 109.47
Fractional coordinates of all 80 atoms:
Y 0.125 0.250 0.375
Y 0.750 0.125 0.375
Y 0.875 0.750 0.625
Y 0.375 0.125 0.250
Y 0.625 0.250 0.875
Y 0.875 0.625 0.250
Y 0.375 0.750 0.125
Y 0.750 0.625 0.875
Y 0.250 0.375 0.125
Y 0.125 0.375 0.750
Y 0.625 0.875 0.750
Y 0.250 0.875 0.625
N 0.408 0.824 0.525
N 0.416 0.092 0.617
N 0.883 0.408 0.084
N 0.916 0.299 0.324
N 0.916 0.117 0.592
N 0.117 0.025 0.201
N 0.475 0.592 0.176
N 0.584 0.908 0.383
N 0.592 0.916 0.117
N 0.176 0.475 0.592
N 0.824 0.525 0.408
N 0.525 0.408 0.824
N 0.324 0.916 0.299
N 0.117 0.592 0.916
N 0.176 0.201 0.584
N 0.975 0.799 0.883
N 0.201 0.584 0.176
N 0.025 0.324 0.908
N 0.799 0.883 0.975
N 0.676 0.084 0.701
N 0.092 0.975 0.676
N 0.475 0.383 0.299
N 0.908 0.383 0.584
N 0.592 0.176 0.475
N 0.092 0.617 0.416
N 0.324 0.908 0.025
N 0.883 0.975 0.799
N 0.383 0.584 0.908
N 0.201 0.117 0.025
N 0.084 0.701 0.676
N 0.299 0.475 0.383
N 0.701 0.525 0.617
N 0.617 0.701 0.525
N 0.799 0.416 0.824
N 0.408 0.084 0.883
N 0.299 0.324 0.916
N 0.584 0.176 0.201
N 0.617 0.416 0.092
N 0.084 0.883 0.408
N 0.416 0.824 0.799
N 0.975 0.676 0.092
N 0.025 0.201 0.117
N 0.383 0.299 0.475
N 0.701 0.676 0.084
N 0.908 0.025 0.324
N 0.676 0.092 0.975
N 0.525 0.617 0.701
N 0.824 0.799 0.416
Mo 0.000 0.000 0.500
Mo 0.500 0.000 0.500
Mo 0.500 0.500 0.000
Mo 0.500 0.000 0.000
Mo 0.000 0.500 0.000
Mo 0.000 0.500 0.500
Mo 0.000 0.000 0.000
Mo 0.500 0.500 0.500
Ta 0.250 0.125 0.875
Ta 0.375 0.250 0.625
Ta 0.125 0.750 0.875
Ta 0.750 0.875 0.125
Ta 0.250 0.625 0.375
Ta 0.750 0.375 0.625
Ta 0.375 0.625 0.750
Ta 0.625 0.375 0.250
Ta 0.625 0.750 0.375
Ta 0.875 0.125 0.750
Ta 0.125 0.875 0.250
Ta 0.875 0.250 0.125

Output
E_tot ... -0.3567 hartree per atom


11.
Ta2Tl3Mo4C3 | PBE-GGA | relaxed

abc: 5.545 5.545 14.468
angles: 100.85 100.85 59.98
Fractional coordinates of all 24 atoms:
Tl 0.582 0.758 0.748
Tl 0.075 0.925 0.250
Tl 0.418 0.242 0.252
Tl 0.925 0.075 0.750
Tl 0.242 0.418 0.752
Tl 0.758 0.582 0.248
Ta 0.647 0.475 0.919
Ta 0.353 0.525 0.081
Ta 0.475 0.647 0.419
Ta 0.525 0.353 0.581
Mo 0.184 0.034 0.577
Mo 0.816 0.966 0.423
Mo 0.034 0.184 0.077
Mo 0.966 0.816 0.923
Mo 0.691 0.868 0.077
Mo 0.132 0.309 0.423
Mo 0.309 0.132 0.923
Mo 0.868 0.691 0.577
C 0.827 0.336 0.500
C 0.664 0.173 0.000
C 0.000 0.500 0.000
C 0.500 0.000 0.500
C 0.173 0.664 0.500
C 0.336 0.827 0.000

Output
E_tot ... -0.3105 hartree per atom


12.
PrGdAl2 | PBE-GGA | relaxed

abc: 5.955 5.695 5.978
angles: 90.00 100.71 90.00
Fractional coordinates of all 8 atoms:
Al 0.500 0.000 0.500
Al 0.500 0.500 0.500
Al 0.809 0.250 0.802
Al 0.191 0.750 0.198
Pr 0.662 0.750 0.022
Pr 0.338 0.250 0.978
Gd 0.024 0.750 0.659
Gd 0.976 0.250 0.341

Output
ΔE to the lowest computed polymorph ... 0 meV per atom


13.
CuNiBOs | PBE-GGA | relaxed

abc: 3.949 3.949 3.949
angles: 60.00 60.00 60.00
Fractional coordinates of all 4 atoms:
Ni 0.500 0.500 0.500
Os 0.250 0.250 0.250
B 0.000 0.000 0.000
Cu 0.750 0.750 0.750

Output
ΔE to the lowest computed polymorph ... 0 meV per atom


14.
SmAlIr | PBE-GGA | relaxed

abc: 4.715 4.715 4.715
angles: 60.00 60.00 60.00
Fractional coordinates of all 3 atoms:
Sm 0.000 0.000 0.000
Ir 0.750 0.750 0.750
Al 0.250 0.250 0.250

Output
E_tot ... -0.1996 hartree per atom


15.
TaZn2Ir | PBE-GGA | relaxed

abc: 4.406 4.406 4.406
angles: 60.00 60.00 60.00
Fractional coordinates of all 4 atoms:
Zn 0.000 0.000 0.000
Zn 0.250 0.250 0.250
Ir 0.500 0.500 0.500
Ta 0.750 0.750 0.750

Output
DFT formation energy ... -0.270 eV/atom


16.
NaB2Ir2 | PBE-GGA | relaxed

abc: 5.489 5.489 6.057
angles: 105.89 105.91 113.25
Fractional coordinates of all 10 atoms:
B 0.195 0.305 0.250
B 0.556 0.944 0.250
B 0.805 0.695 0.750
B 0.444 0.056 0.750
Ir 0.757 0.007 0.013
Ir 0.507 0.257 0.513
Ir 0.493 0.743 0.487
Ir 0.243 0.993 0.987
Na 0.125 0.375 0.750
Na 0.875 0.625 0.250

Output
E_tot ... -0.2494 hartree per atom


17.
LuCoSbW | PBE-GGA | relaxed

abc: 4.625 4.625 4.625
angles: 60.00 60.00 60.00
Fractional coordinates of all 4 atoms:
Co 0.750 0.750 0.750
Sb 0.000 0.000 0.000
W 0.250 0.250 0.250
Lu 0.500 0.500 0.500

Output
ΔE to the lowest computed polymorph ... 0 meV per atom


18.
Zn2GaSnPt4 | PBE-GGA | relaxed

abc: 4.287 4.287 6.869
angles: 90.00 90.00 90.00
Fractional coordinates of all 8 atoms:
Pt 0.500 0.000 0.734
Pt 0.000 0.500 0.734
Pt 0.000 0.500 0.266
Pt 0.500 0.000 0.266
Zn 0.500 0.500 0.500
Zn 0.000 0.000 0.000
Sn 0.500 0.500 0.000
Ga 0.000 0.000 0.500

Output
E_tot ... -0.1717 hartree per atom


19.
ScFeGeAu | PBE-GGA | relaxed

abc: 4.513 4.513 4.513
angles: 60.00 60.00 60.00
Fractional coordinates of all 4 atoms:
Au 0.250 0.250 0.250
Fe 0.750 0.750 0.750
Ge 0.000 0.000 0.000
Sc 0.500 0.500 0.500

Output
ΔE to the lowest computed polymorph ... 91 meV per atom


Calculated volume (Å³ per atom)
16.862 15.965 11.301 23.800 43.680 16.020 17.546 16.801 30.840 13.103 15.664 24.902 10.888 24.710 15.118 14.541 17.494 15.778 16.253